Entry 1:
DFT (GGA-PBEsol) results for a relaxed structure of ZrCo6Ge6.

Unit cell a=4.9871 b=4.9871 c=7.6813 alpha=90.00 beta=90.00 gamma=120.00
Sites, in units of the cell vectors:
Zr (0.0000, 0.0000, 0.0000)
Co (0.0000, 0.5000, 0.2498)
Co (0.0000, 0.5000, 0.7502)
Co (0.5000, 0.0000, 0.2498)
Co (0.5000, 0.0000, 0.7502)
Co (0.5000, 0.5000, 0.2498)
Co (0.5000, 0.5000, 0.7502)
Ge (0.0000, 0.0000, 0.3401)
Ge (0.0000, 0.0000, 0.6599)
Ge (0.3333, 0.6667, 0.0000)
Ge (0.3333, 0.6667, 0.5000)
Ge (0.6667, 0.3333, 0.0000)
Ge (0.6667, 0.3333, 0.5000)

Output
The calculation puts the energy of formation at -40.5 kJ/mol of atoms. The density of states at the Fermi level comes out at 6.9 states/eV per cell. As for the space group: P6/mmm.


Entry 2:
DFT (GGA-PBEsol) results for a relaxed structure of Co4H.

Unit cell a=2.4880 b=2.4880 c=8.0297 alpha=90.00 beta=90.00 gamma=120.00
Sites, in units of the cell vectors:
Co (0.3333, 0.6667, 0.3653)
Co (0.3333, 0.6667, 0.8779)
Co (0.6667, 0.3333, 0.1221)
Co (0.6667, 0.3333, 0.6347)
H (0.0000, 0.0000, 0.5000)

Output
The calculation puts the electronic total energy at -6.88 eV per atom. The density of states at the Fermi level comes out at 3.6 states/eV per cell. As for the space group: P-3m1.


Entry 3:
DFT (GGA-PBEsol) results for a relaxed structure of HfCo3H.

Unit cell a=3.6743 b=3.6743 c=3.6743 alpha=90.00 beta=90.00 gamma=90.00
Sites, in units of the cell vectors:
Hf (0.0000, 0.0000, 0.0000)
Co (0.0000, 0.5000, 0.5000)
Co (0.5000, 0.0000, 0.5000)
Co (0.5000, 0.5000, 0.0000)
H (0.5000, 0.5000, 0.5000)

Output
The calculation puts the electronic total energy at -7.73 eV per atom. The density of states at the Fermi level comes out at 3.6 states/eV per cell. As for the space group: Pm-3m.


Entry 4:
DFT (GGA-PBEsol) results for a relaxed structure of Hf2CoH2.

Unit cell a=6.2112 b=6.2112 c=6.2112 alpha=151.15 beta=151.15 gamma=41.25
Sites, in units of the cell vectors:
Hf (0.1338, 0.1338, 0.0000)
Hf (0.8662, 0.8662, 0.0000)
Co (0.5000, 0.5000, 0.0000)
H (0.2500, 0.7500, 0.5000)
H (0.7500, 0.2500, 0.5000)

Output
The calculation puts the electronic total energy at -7.56 eV per atom. The density of states at the Fermi level comes out at 2.3 states/eV per cell. As for the space group: I4/mmm.


Entry 5:
DFT (GGA-PBEsol) results for a relaxed structure of Co3HgH.

Unit cell a=4.7666 b=4.7666 c=4.7666 alpha=90.00 beta=90.00 gamma=90.00
Sites, in units of the cell vectors:
Co (0.0000, 0.0000, 0.5000)
Co (0.0000, 0.5000, 0.0000)
Co (0.5000, 0.0000, 0.0000)
Hg (0.0000, 0.0000, 0.0000)
H (0.5000, 0.5000, 0.5000)

Output
The calculation puts the electronic total energy at -3.06 eV per atom. The density of states at the Fermi level comes out at 14.3 states/eV per cell. As for the space group: Pm-3m.


Entry 6:
DFT (GGA-PBEsol) results for a relaxed structure of Ti2CoHgH.

Unit cell a=5.0692 b=5.0692 c=3.2608 alpha=90.00 beta=90.00 gamma=90.00
Sites, in units of the cell vectors:
Ti (0.0000, 0.5000, 0.0000)
Ti (0.5000, 0.0000, 0.0000)
Co (0.0000, 0.0000, 0.5000)
Hg (0.5000, 0.5000, 0.0000)
H (0.5000, 0.5000, 0.5000)

Output
The calculation puts the electronic total energy at -4.52 eV per atom. The density of states at the Fermi level comes out at 5.2 states/eV per cell. As for the space group: P4/mmm.


Entry 7:
DFT (GGA-PBEsol) results for a relaxed structure of Zn2CoHgH.

Unit cell a=4.2141 b=4.2141 c=3.3340 alpha=90.00 beta=90.00 gamma=90.00
Sites, in units of the cell vectors:
Zn (0.0000, 0.5000, 0.0000)
Zn (0.5000, 0.0000, 0.0000)
Co (0.0000, 0.0000, 0.5000)
Hg (0.5000, 0.5000, 0.5000)
H (0.0000, 0.0000, 0.0000)

Output
The calculation puts the electronic total energy at -2.82 eV per atom. The density of states at the Fermi level comes out at 2.5 states/eV per cell. As for the space group: P4/mmm.


Entry 8:
DFT (GGA-PBEsol) results for a relaxed structure of Co3HI.

Unit cell a=3.7462 b=3.7462 c=3.7462 alpha=90.00 beta=90.00 gamma=90.00
Sites, in units of the cell vectors:
Co (0.0000, 0.0000, 0.5000)
Co (0.0000, 0.5000, 0.0000)
Co (0.5000, 0.0000, 0.0000)
H (0.0000, 0.0000, 0.0000)
I (0.5000, 0.5000, 0.5000)

Output
The calculation puts the electronic total energy at -5.19 eV per atom. The density of states at the Fermi level comes out at 2.4 states/eV per cell. As for the space group: Pm-3m.


Entry 9:
DFT (GGA-PBEsol) results for a relaxed structure of CoH8I2O10.

Unit cell a=8.3033 b=6.2240 c=8.2321 alpha=90.00 beta=98.73 gamma=90.00
Sites, in units of the cell vectors:
Co (0.0000, 0.0000, 0.0000)
Co (0.0000, 0.5000, 0.5000)
H (0.0116, 0.1217, 0.3127)
H (0.0116, 0.3783, 0.8127)
H (0.1622, 0.5070, 0.2604)
H (0.1622, 0.9930, 0.7604)
H (0.2728, 0.6052, 0.7297)
H (0.2728, 0.8948, 0.2297)
H (0.2822, 0.7161, 0.5505)
H (0.2822, 0.7839, 0.0505)
H (0.7178, 0.2161, 0.9495)
H (0.7178, 0.2839, 0.4495)
H (0.7272, 0.1052, 0.7703)
H (0.7272, 0.3948, 0.2703)
H (0.8378, 0.0070, 0.2396)
H (0.8378, 0.4930, 0.7396)
H (0.9884, 0.6217, 0.1873)
H (0.9884, 0.8783, 0.6873)
I (0.3387, 0.1887, 0.5287)
I (0.3387, 0.3113, 0.0287)
I (0.6613, 0.6887, 0.9713)
I (0.6613, 0.8113, 0.4713)
O (0.0660, 0.5860, 0.2907)
O (0.0660, 0.9140, 0.7907)
O (0.1152, 0.2120, 0.4756)
O (0.1152, 0.2880, 0.9756)
O (0.2449, 0.5852, 0.6074)
O (0.2449, 0.9148, 0.1074)
O (0.3428, 0.1129, 0.7445)
O (0.3428, 0.3871, 0.2445)
O (0.3463, 0.5849, 0.9393)
O (0.3463, 0.9151, 0.4393)
O (0.6537, 0.0849, 0.5607)
O (0.6537, 0.4151, 0.0607)
O (0.6572, 0.6129, 0.7555)
O (0.6572, 0.8871, 0.2555)
O (0.7551, 0.0852, 0.8926)
O (0.7551, 0.4148, 0.3926)
O (0.8848, 0.7120, 0.0244)
O (0.8848, 0.7880, 0.5244)
O (0.9340, 0.0860, 0.2093)
O (0.9340, 0.4140, 0.7093)

Output
The calculation puts the electronic total energy at -5.08 eV per atom. The density of states at the Fermi level comes out at 0.2 states/eV per cell. As for the space group: P2_1/c.


Entry 10:
DFT (GGA-PBEsol) results for a relaxed structure of CoSb2HI.

Unit cell a=4.7521 b=4.7521 c=5.5087 alpha=90.00 beta=90.00 gamma=90.00
Sites, in units of the cell vectors:
Co (0.0000, 0.0000, 0.0000)
Sb (0.0000, 0.5000, 0.0000)
Sb (0.5000, 0.0000, 0.0000)
H (0.5000, 0.5000, 0.5000)
I (0.0000, 0.0000, 0.5000)

Output
The calculation puts the electronic total energy at -3.67 eV per atom. The density of states at the Fermi level comes out at 2.3 states/eV per cell. As for the space group: P4/mmm.


Entry 11:
DFT (GGA-PBEsol) results for a relaxed structure of InCo2H2.

Unit cell a=5.1740 b=5.1740 c=5.1740 alpha=145.64 beta=145.64 gamma=49.38
Sites, in units of the cell vectors:
In (0.0000, 0.0000, 0.0000)
Co (0.3342, 0.3342, 0.0000)
Co (0.6658, 0.6658, 0.0000)
H (0.2500, 0.7500, 0.5000)
H (0.7500, 0.2500, 0.5000)

Output
The calculation puts the electronic total energy at -4.98 eV per atom. The density of states at the Fermi level comes out at 6.1 states/eV per cell. As for the space group: I4/mmm.


Entry 12:
DFT (GGA-PBEsol) results for a relaxed structure of TlInCoH2.

Unit cell a=3.9040 b=3.9040 c=5.0149 alpha=90.00 beta=90.00 gamma=90.00
Sites, in units of the cell vectors:
Tl (0.0000, 0.0000, 0.0000)
In (0.5000, 0.5000, 0.0000)
Co (0.0000, 0.0000, 0.5000)
H (0.0000, 0.5000, 0.5000)
H (0.5000, 0.0000, 0.5000)

Output
The calculation puts the electronic total energy at -3.29 eV per atom. The density of states at the Fermi level comes out at 3.7 states/eV per cell. As for the space group: P4/mmm.


Entry 13:
DFT (GGA-PBEsol) results for a relaxed structure of Co2H2Ir.

Unit cell a=5.9122 b=5.9122 c=5.9122 alpha=154.10 beta=154.10 gamma=36.96
Sites, in units of the cell vectors:
Co (0.1562, 0.1562, 0.0000)
Co (0.8438, 0.8438, 0.0000)
H (0.2500, 0.7500, 0.5000)
H (0.7500, 0.2500, 0.5000)
Ir (0.5000, 0.5000, 0.0000)

Output
The calculation puts the electronic total energy at -6.34 eV per atom. The density of states at the Fermi level comes out at 4.1 states/eV per cell. As for the space group: I4/mmm.


Entry 14:
DFT (GGA-PBEsol) results for a relaxed structure of Co3HIr.

Unit cell a=3.5967 b=3.5967 c=3.5967 alpha=90.00 beta=90.00 gamma=90.00
Sites, in units of the cell vectors:
Co (0.0000, 0.0000, 0.5000)
Co (0.0000, 0.5000, 0.0000)
Co (0.5000, 0.0000, 0.0000)
H (0.0000, 0.0000, 0.0000)
Ir (0.5000, 0.5000, 0.5000)

Output
The density of states at the Fermi level comes out at 5.5 states/eV per cell. As for the space group: Pm-3m. As for the excess energy over the best structure of this formula in the dataset: 0.0 meV per atom.


Entry 15:
DFT (GGA-PBEsol) results for a relaxed structure of Co3HIr.

Unit cell a=4.5047 b=4.5047 c=4.5047 alpha=90.00 beta=90.00 gamma=90.00
Sites, in units of the cell vectors:
Co (0.0000, 0.0000, 0.5000)
Co (0.0000, 0.5000, 0.0000)
Co (0.5000, 0.0000, 0.0000)
H (0.5000, 0.5000, 0.5000)
Ir (0.0000, 0.0000, 0.0000)

Output
The density of states at the Fermi level comes out at 11.3 states/eV per cell. As for the space group: Pm-3m. As for the excess energy over the best structure of this formula in the dataset: 2039.4 meV per atom.


Entry 16:
DFT (GGA-PBEsol) results for a relaxed structure of K2CoH2.

Unit cell a=7.8869 b=7.8869 c=2.8488 alpha=90.00 beta=90.00 gamma=90.00
Sites, in units of the cell vectors:
K (0.1459, 0.3541, 0.0000)
K (0.3541, 0.8541, 0.0000)
K (0.6459, 0.1459, 0.0000)
K (0.8541, 0.6459, 0.0000)
Co (0.0000, 0.0000, 0.0000)
Co (0.5000, 0.5000, 0.0000)
H (0.1527, 0.6527, 0.5000)
H (0.3473, 0.1527, 0.5000)
H (0.6527, 0.8473, 0.5000)
H (0.8473, 0.3473, 0.5000)

Output
The calculation puts the electronic total energy at -2.50 eV per atom. The density of states at the Fermi level comes out at 8.3 states/eV per cell. As for the space group: P4/mbm.


Entry 17:
DFT (GGA-PBEsol) results for a relaxed structure of KCo3H.

Unit cell a=3.8765 b=3.8765 c=3.8765 alpha=90.00 beta=90.00 gamma=90.00
Sites, in units of the cell vectors:
K (0.0000, 0.0000, 0.0000)
Co (0.0000, 0.5000, 0.5000)
Co (0.5000, 0.0000, 0.5000)
Co (0.5000, 0.5000, 0.0000)
H (0.5000, 0.5000, 0.5000)

Output
The calculation puts the electronic total energy at -4.43 eV per atom. The density of states at the Fermi level comes out at 8.2 states/eV per cell. As for the space group: Pm-3m.


Entry 18:
DFT (GGA-PBEsol) results for a relaxed structure of KCo2H.

Unit cell a=5.3446 b=5.3446 c=5.3446 alpha=60.00 beta=60.00 gamma=60.00
Sites, in units of the cell vectors:
K (0.1250, 0.1250, 0.1250)
K (0.8750, 0.8750, 0.8750)
Co (0.0000, 0.5000, 0.5000)
Co (0.5000, 0.0000, 0.5000)
Co (0.5000, 0.5000, 0.0000)
Co (0.5000, 0.5000, 0.5000)
H (0.3750, 0.3750, 0.3750)
H (0.6250, 0.6250, 0.6250)

Output
The calculation puts the electronic total energy at -4.33 eV per atom. The density of states at the Fermi level comes out at 11.0 states/eV per cell. As for the space group: Fd-3m.


Entry 19:
DFT (GGA-PBEsol) results for a relaxed structure of K2CoP4H8O16.

Unit cell a=6.8695 b=7.3512 c=7.4630 alpha=80.06 beta=73.48 gamma=83.88
Sites, in units of the cell vectors:
K (0.1202, 0.2432, 0.3022)
K (0.8798, 0.7568, 0.6978)
Co (0.5000, 0.0000, 0.5000)
P (0.2520, 0.3086, 0.7630)
P (0.3211, 0.7717, 0.2410)
P (0.6789, 0.2283, 0.7590)
P (0.7480, 0.6914, 0.2370)
H (0.0604, 0.7728, 0.0687)
H (0.2497, 0.5452, 0.4847)
H (0.3692, 0.8221, 0.8540)
H (0.3818, 0.6823, 0.7062)
H (0.6182, 0.3177, 0.2938)
H (0.6308, 0.1779, 0.1460)
H (0.7503, 0.4548, 0.5153)
H (0.9396, 0.2272, 0.9313)
O (0.0720, 0.2855, 0.9446)
O (0.2330, 0.5814, 0.3415)
O (0.2353, 0.8415, 0.0733)
O (0.2601, 0.1726, 0.6307)
O (0.2603, 0.5112, 0.6671)
O (0.2950, 0.9033, 0.3819)
O (0.4397, 0.2683, 0.8574)
O (0.4442, 0.7925, 0.7247)
O (0.5558, 0.2075, 0.2753)
O (0.5603, 0.7317, 0.1426)
O (0.7050, 0.0967, 0.6181)
O (0.7397, 0.4888, 0.3329)
O (0.7399, 0.8274, 0.3693)
O (0.7647, 0.1585, 0.9267)
O (0.7670, 0.4186, 0.6585)
O (0.9280, 0.7145, 0.0554)

Output
The calculation puts the electronic total energy at -6.35 eV per atom. The density of states at the Fermi level comes out at 1.9 states/eV per cell. As for the space group: P-1.


Entry 20:
DFT (GGA-PBEsol) results for a relaxed structure of K2CoP2H6O8.

Unit cell a=6.8117 b=6.8117 c=7.3107 alpha=113.94 beta=113.94 gamma=45.38
Sites, in units of the cell vectors:
K (0.1626, 0.1626, 0.2887)
K (0.8374, 0.8374, 0.7113)
Co (0.5000, 0.5000, 0.5000)
P (0.1496, 0.1496, 0.7439)
P (0.8504, 0.8504, 0.2561)
H (0.2715, 0.2715, 0.8893)
H (0.3118, 0.6210, 0.1507)
H (0.3790, 0.6882, 0.8493)
H (0.6210, 0.3118, 0.1507)
H (0.6882, 0.3790, 0.8493)
H (0.7285, 0.7285, 0.1107)
O (0.0772, 0.0772, 0.8674)
O (0.1055, 0.6252, 0.3846)
O (0.3748, 0.8945, 0.6154)
O (0.4865, 0.4865, 0.7824)
O (0.5135, 0.5135, 0.2176)
O (0.6252, 0.1055, 0.3846)
O (0.8945, 0.3748, 0.6154)
O (0.9228, 0.9228, 0.1326)

Output
The calculation puts the electronic total energy at -5.82 eV per atom. The density of states at the Fermi level comes out at 3.2 states/eV per cell. As for the space group: C2/m.


Entry 21:
DFT (GGA-PBEsol) results for a relaxed structure of K2CoH4Se2O10.

Unit cell a=5.5508 b=6.5161 c=7.5812 alpha=113.44 beta=96.71 gamma=104.01
Sites, in units of the cell vectors:
K (0.2306, 0.3111, 0.2394)
K (0.7694, 0.6889, 0.7606)
Co (0.5000, 0.0000, 0.5000)
H (0.3508, 0.8338, 0.1113)
H (0.3574, 0.0264, 0.8032)
H (0.6426, 0.9736, 0.1968)
H (0.6492, 0.1662, 0.8887)
Se (0.1305, 0.3070, 0.7259)
Se (0.8695, 0.6930, 0.2741)
O (0.1088, 0.1277, 0.8349)
O (0.1512, 0.7489, 0.4229)
O (0.2238, 0.5884, 0.8873)
O (0.3493, 0.2714, 0.5868)
O (0.4700, 0.9858, 0.2188)
O (0.5300, 0.0142, 0.7812)
O (0.6507, 0.7286, 0.4132)
O (0.7762, 0.4116, 0.1127)
O (0.8488, 0.2511, 0.5771)
O (0.8912, 0.8723, 0.1651)

Output
The calculation puts the electronic total energy at -5.46 eV per atom. The density of states at the Fermi level comes out at 2.8 states/eV per cell. As for the space group: P-1.


Entry 22:
DFT (GGA-PBEsol) results for a relaxed structure of KCoHRu2.

Unit cell a=4.6252 b=4.6252 c=4.2830 alpha=90.00 beta=90.00 gamma=90.00
Sites, in units of the cell vectors:
K (0.0000, 0.0000, 0.0000)
Co (0.0000, 0.0000, 0.5000)
H (0.5000, 0.5000, 0.5000)
Ru (0.0000, 0.5000, 0.0000)
Ru (0.5000, 0.0000, 0.0000)

Output
The calculation puts the electronic total energy at -3.01 eV per atom. The density of states at the Fermi level comes out at 6.1 states/eV per cell. As for the space group: P4/mmm.


Entry 23:
DFT (GGA-PBEsol) results for a relaxed structure of LiCo3H.

Unit cell a=3.5353 b=3.5353 c=3.5353 alpha=90.00 beta=90.00 gamma=90.00
Sites, in units of the cell vectors:
Li (0.0000, 0.0000, 0.0000)
Co (0.0000, 0.5000, 0.5000)
Co (0.5000, 0.0000, 0.5000)
Co (0.5000, 0.5000, 0.0000)
H (0.5000, 0.5000, 0.5000)

Output
The calculation puts the electronic total energy at -5.54 eV per atom. The density of states at the Fermi level comes out at 5.2 states/eV per cell. As for the space group: Pm-3m.